VASP calculation (PBE) on a relaxed structure of TiMnSe2.

For the calculated total energy, the calculation gives -6.035 eV/atom. The value obtained for the formation energy without anion corrections is -0.03 eV per atom. As for the calculated density: 6.160 Mg/m³.

The space group is R-3m (No. 166, hexagonal axes) and the conventional cell measures 3.1308, 3.1308 and 24.8391 Å, with angles of 90.00, 90.00 and 120.00 degrees. The asymmetric unit holds Ti at (0.0000, 0.0000, 0.0000), Mn at (0.0000, 0.0000, 0.5000) and Se at (0.0000, 0.0000, 0.1025).

VASP calculation (PBE) on a relaxed structure of Ti2MnSe.

For the calculated total energy, the calculation gives -7.091 eV/atom. The value obtained for the formation energy without anion corrections is 0.02 eV per atom. As for the calculated density: 6.083 Mg/m³.

The space group is I-42d (No. 122) and the conventional cell measures 6.731, 6.731 and 5.534 Å, with angles of 90.00, 90.00 and 90.00 degrees. The asymmetric unit holds Ti at (0.227, 0.750, 0.125), Mn at (0.000, 0.000, 0.000) and Se at (0.000, 0.000, 0.500).

VASP calculation (PBE) on a relaxed structure of Ti2MnSe2.

For the calculated total energy, the calculation gives -6.950 eV/atom. The value obtained for the formation energy without anion corrections is -0.56 eV per atom. As for the calculated density: 6.313 Mg/m³.

The space group is P4/mbm (No. 127) and the conventional cell measures 6.989, 6.989 and 3.324 Å, with angles of 90.00, 90.00 and 90.00 degrees. The asymmetric unit holds Ti at (0.147, 0.353, 0.000), Mn at (0.000, 0.000, 0.500) and Se at (0.153, 0.653, 0.500).